[1]
Here is an optimized crystal structure of UZnIrPt from Alexandria. Energies are from PBE-GGA.

The structure belongs to space group F-43m (No. 216); the cell edges are 6.594, 6.594 and 6.594 Å and the angles 90.00°, 90.00° and 90.00°. The distinct sites, in fractional coordinates, are U at (0.000, 0.000, 0.000), Zn at (0.000, 0.000, 0.500), Ir at (0.250, 0.250, 0.750) and Pt at (0.250, 0.250, 0.250).

As for the raw total energy: -7.313 eV per atom. The density of states at the Fermi level is 1.125 states/eV per atom.

---

[2]
Here is an optimized crystal structure of V4Ir7Pt from Alexandria. Energies are from PBE-GGA.

The structure belongs to space group C2/m (No. 12); the cell edges are 11.414, 4.603 and 8.989 Å and the angles 90.00°, 125.97° and 90.00°. The distinct sites, in fractional coordinates, are V at (0.076, 0.000, 0.281), V at (0.216, 0.000, 0.834), Ir at (0.000, 0.000, 0.500), Ir at (0.084, 0.500, 0.848), Ir at (0.146, 0.000, 0.077), Ir at (0.211, 0.500, 0.373) and Pt at (0.000, 0.500, 0.500).

As for the raw total energy: -8.560 eV per atom. The density of states at the Fermi level is 1.107 states/eV per atom.

---

[3]
Here is an optimized crystal structure of V2IrPt2 from Alexandria. Energies are from PBE-GGA.

The structure belongs to space group P4/mbm (No. 127); the cell edges are 7.333, 7.333 and 2.775 Å and the angles 90.00°, 90.00° and 90.00°. The distinct sites, in fractional coordinates, are V at (0.117, 0.383, 0.000), Ir at (0.000, 0.000, 0.000) and Pt at (0.176, 0.676, 0.500).

As for the raw total energy: -7.942 eV per atom. The density of states at the Fermi level is 1.234 states/eV per atom.

---

> Which value of raw total energy does entry 2 give?

-8.560 eV per atom